Density functional theory data (PBE) for a geometry-optimized LaRe2Au structure.

## Properties
magnetic moment = 0.0 μB per formula unit
calculated formation energy = 0.343 eV/atom
volume = 23.072 Å³/atom
D(E_F) = 2.33 states/eV/f.u.

abc: 9.4997 3.9376 5.2554
angles: 90.00 110.13 90.00
Closest atoms and distances in Å follow each position.
Fractional coordinates of all 8 atoms:
La (0.0000, 0.0000, 0.0000)  8 Re 3.21-3.45, 4 Au 3.28
La (0.5000, 0.5000, 0.0000)  8 Re 3.21-3.45, 4 Au 3.28
Re (0.2290, 0.0000, 0.6126)  2 Re 2.40
Re (0.2710, 0.5000, 0.3874)  2 Re 2.40
Re (0.7290, 0.5000, 0.6126)  2 Re 2.40
Re (0.7710, 0.0000, 0.3874)  2 Re 2.40
Au (0.0000, 0.5000, 0.5000)  6 Re 2.83-2.84
Au (0.5000, 0.0000, 0.5000)  6 Re 2.83-2.84